Entry from Alexandria via LeMat-Bulk: a relaxed structure of Ta2CuN2 (PBE-GGA).

abc: 6.4460 6.4460 2.8212
angles: 90.00 90.00 90.00
Sites, in units of the cell vectors:
N: 0.1350 0.6350 0.5000
N: 0.6350 0.8650 0.5000
N: 0.8650 0.3650 0.5000
N: 0.3650 0.1350 0.5000
Cu: 0.0000 0.0000 0.0000
Cu: 0.5000 0.5000 0.0000
Ta: 0.3509 0.8509 0.0000
Ta: 0.8509 0.6491 0.0000
Ta: 0.6491 0.1491 0.0000
Ta: 0.1491 0.3509 0.0000

Results
- symmetry = P4/mbm, No. 127
- E_tot (eV per atom) = -8.81
- total magnetic moment (μB/f.u.) = 0.0
- formation energy without anion corrections (kJ/mol of formula units) = 38
- energy above the most stable polymorph in this dataset (meV/atom) = 560